# Zn3CrO GGA+U relaxed
# N(E_F) = 1.2593 states/eV/atom
# Raw total energy = -0.084 hartree per atom
# ΔE to the lowest computed polymorph = 527 meV/atom
data_Zn3CrO
_chemical_formula_sum 'Zn3 Cr1 O1'
_space_group_name_H-M_alt 'P m -3 m'
_space_group_IT_number 221
_space_group_name_Hall '-P 4 2 3'
_cell_length_a 5.044
_cell_length_b 5.044
_cell_length_c 5.044
_cell_angle_alpha 90.00
_cell_angle_beta 90.00
_cell_angle_gamma 90.00
loop_
_atom_site_label
_atom_site_type_symbol
_atom_site_fract_x
_atom_site_fract_y
_atom_site_fract_z
_atom_site_occupancy
Zn1 Zn 0.000 0.000 0.500 1
Cr1 Cr 0.000 0.000 0.000 1
O1 O 0.500 0.500 0.500 1